Record 1
Material: Al2TlW
Method: DFT, GGA-PBEsol
State: optimized geometry

Results
The calculation puts the formation energy from the elements at 1.1 eV per formula unit.

Structure (CIF):
```
data_Al2TlW
_chemical_formula_sum 'Al2 Tl1 W1'
_symmetry_space_group_name_H-M 'P 4/m m m'
_symmetry_Int_Tables_number 123
_symmetry_space_group_name_Hall '-P 4 2'
_cell_length_a 3.4334
_cell_length_b 3.4334
_cell_length_c 5.8459
_cell_angle_alpha 90.00
_cell_angle_beta 90.00
_cell_angle_gamma 90.00
loop_
_atom_site_label
_atom_site_fract_x
_atom_site_fract_y
_atom_site_fract_z
Al1 0.0000 0.0000 0.2156
Tl1 0.5000 0.5000 0.5000
W1 0.5000 0.5000 0.0000
```


Record 2
Material: SrTaMn2Zn
Method: DFT, GGA-PBEsol
State: optimized geometry

Results
The calculation puts the formation energy from the elements at 12.9 eV per formula unit.

Structure (CIF):
```
data_SrTaMn2Zn
_chemical_formula_sum 'Sr1 Ta1 Mn2 Zn1'
_symmetry_space_group_name_H-M 'P 4/m m m'
_symmetry_Int_Tables_number 123
_symmetry_space_group_name_Hall '-P 4 2'
_cell_length_a 4.6871
_cell_length_b 4.6871
_cell_length_c 5.0223
_cell_angle_alpha 90.00
_cell_angle_beta 90.00
_cell_angle_gamma 90.00
loop_
_atom_site_label
_atom_site_fract_x
_atom_site_fract_y
_atom_site_fract_z
Sr1 0.0000 0.0000 0.0000
Ta1 0.0000 0.0000 0.5000
Mn1 0.0000 0.5000 0.0000
Zn1 0.5000 0.5000 0.5000
```


Record 3
Material: AlReAs2Br
Method: DFT, GGA-PBEsol
State: optimized geometry

Results
The uncorrected formation energy comes out at 0.57 eV/atom.

Structure (CIF):
```
data_AlReAs2Br
_chemical_formula_sum 'Al1 Re1 As2 Br1'
_symmetry_space_group_name_H-M 'P 4/m m m'
_symmetry_Int_Tables_number 123
_symmetry_space_group_name_Hall '-P 4 2'
_cell_length_a 4.7015
_cell_length_b 4.7015
_cell_length_c 5.4941
_cell_angle_alpha 90.00
_cell_angle_beta 90.00
_cell_angle_gamma 90.00
loop_
_atom_site_label
_atom_site_fract_x
_atom_site_fract_y
_atom_site_fract_z
Al1 0.0000 0.0000 0.0000
Re1 0.5000 0.5000 0.5000
As1 0.0000 0.5000 0.5000
Br1 0.5000 0.5000 0.0000
```


Record 4
Material: SiGeBr2
Method: DFT, GGA-PBEsol
State: optimized geometry

Results
The uncorrected formation energy comes out at 0.29 eV/atom.

Structure (CIF):
```
data_SiGeBr2
_chemical_formula_sum 'Si4 Ge4 Br8'
_symmetry_space_group_name_H-M 'I -4 2 d'
_symmetry_Int_Tables_number 122
_symmetry_space_group_name_Hall 'I -4 2bw'
_cell_length_a 7.6844
_cell_length_b 7.6844
_cell_length_c 6.4110
_cell_angle_alpha 90.00
_cell_angle_beta 90.00
_cell_angle_gamma 90.00
loop_
_atom_site_label
_atom_site_fract_x
_atom_site_fract_y
_atom_site_fract_z
Si1 0.0000 0.0000 0.0000
Ge1 0.0000 0.0000 0.5000
Br1 0.2413 0.7500 0.1250
```


Record 5
Material: NbB2Cl
Method: DFT, GGA-PBEsol
State: optimized geometry

Results
The uncorrected formation energy comes out at 1.53 eV/atom.

Structure (CIF):
```
data_NbB2Cl
_chemical_formula_sum 'Nb4 B8 Cl4'
_symmetry_space_group_name_H-M 'F m -3 m'
_symmetry_Int_Tables_number 225
_symmetry_space_group_name_Hall '-F 4 2 3'
_cell_length_a 5.7958
_cell_length_b 5.7958
_cell_length_c 5.7958
_cell_angle_alpha 90.00
_cell_angle_beta 90.00
_cell_angle_gamma 90.00
loop_
_atom_site_label
_atom_site_fract_x
_atom_site_fract_y
_atom_site_fract_z
Nb1 0.0000 0.0000 0.0000
B1 0.2500 0.2500 0.2500
Cl1 0.0000 0.0000 0.5000
```


Record 6
Material: Sc4MoBr
Method: DFT, GGA-PBEsol
State: optimized geometry

Results
The uncorrected formation energy comes out at 0.65 eV/atom.

Structure (CIF):
```
data_Sc4MoBr
_chemical_formula_sum 'Sc16 Mo4 Br4'
_symmetry_space_group_name_H-M 'F -4 3 m'
_symmetry_Int_Tables_number 216
_symmetry_space_group_name_Hall 'F -4 2 3'
_cell_length_a 8.0106
_cell_length_b 8.0106
_cell_length_c 8.0106
_cell_angle_alpha 90.00
_cell_angle_beta 90.00
_cell_angle_gamma 90.00
loop_
_atom_site_label
_atom_site_fract_x
_atom_site_fract_y
_atom_site_fract_z
Sc1 0.1213 0.1213 0.1213
Mo1 0.2500 0.2500 0.7500
Br1 0.0000 0.0000 0.5000
```


Record 7
Material: MnInNi
Method: DFT, GGA-PBEsol
State: optimized geometry

Results
The calculation puts the formation energy from the elements at 1.9 eV per formula unit.

Structure (CIF):
```
data_MnInNi
_chemical_formula_sum 'Mn4 In4 Ni4'
_symmetry_space_group_name_H-M 'F -4 3 m'
_symmetry_Int_Tables_number 216
_symmetry_space_group_name_Hall 'F -4 2 3'
_cell_length_a 5.9241
_cell_length_b 5.9241
_cell_length_c 5.9241
_cell_angle_alpha 90.00
_cell_angle_beta 90.00
_cell_angle_gamma 90.00
loop_
_atom_site_label
_atom_site_fract_x
_atom_site_fract_y
_atom_site_fract_z
Mn1 0.0000 0.0000 0.0000
In1 0.2500 0.2500 0.7500
Ni1 0.0000 0.0000 0.5000
```


Record 8
Material: Y2MnBr
Method: DFT, GGA-PBEsol
State: optimized geometry

Results
The uncorrected formation energy comes out at 0.01 eV/atom.

Structure (CIF):
```
data_Y2MnBr
_chemical_formula_sum 'Y4 Mn2 Br2'
_symmetry_space_group_name_H-M 'I -4 m 2'
_symmetry_Int_Tables_number 119
_symmetry_space_group_name_Hall 'I -4 -2'
_cell_length_a 4.0676
_cell_length_b 4.0676
_cell_length_c 11.1714
_cell_angle_alpha 90.00
_cell_angle_beta 90.00
_cell_angle_gamma 90.00
loop_
_atom_site_label
_atom_site_fract_x
_atom_site_fract_y
_atom_site_fract_z
Y1 0.0000 0.0000 0.0000
Y2 0.0000 0.5000 0.2500
Mn1 0.0000 0.5000 0.7500
Br1 0.0000 0.0000 0.5000
```


Record 9
Material: SrMgCl2
Method: DFT, GGA-PBEsol
State: optimized geometry

Results
The uncorrected formation energy comes out at -1.27 eV/atom.

Structure (CIF):
```
data_SrMgCl2
_chemical_formula_sum 'Sr1 Mg1 Cl2'
_symmetry_space_group_name_H-M 'P 4/m m m'
_symmetry_Int_Tables_number 123
_symmetry_space_group_name_Hall '-P 4 2'
_cell_length_a 4.8975
_cell_length_b 4.8975
_cell_length_c 4.1237
_cell_angle_alpha 90.00
_cell_angle_beta 90.00
_cell_angle_gamma 90.00
loop_
_atom_site_label
_atom_site_fract_x
_atom_site_fract_y
_atom_site_fract_z
Sr1 0.0000 0.0000 0.0000
Mg1 0.5000 0.5000 0.0000
Cl1 0.0000 0.5000 0.5000
```


Record 10
Material: MnOsBr2
Method: DFT, GGA-PBEsol
State: optimized geometry

Results
The uncorrected formation energy comes out at 1.36 eV/atom.

Structure (CIF):
```
data_MnOsBr2
_chemical_formula_sum 'Mn4 Os4 Br8'
_symmetry_space_group_name_H-M 'F -4 3 m'
_symmetry_Int_Tables_number 216
_symmetry_space_group_name_Hall 'F -4 2 3'
_cell_length_a 6.5633
_cell_length_b 6.5633
_cell_length_c 6.5633
_cell_angle_alpha 90.00
_cell_angle_beta 90.00
_cell_angle_gamma 90.00
loop_
_atom_site_label
_atom_site_fract_x
_atom_site_fract_y
_atom_site_fract_z
Mn1 0.0000 0.0000 0.0000
Os1 0.2500 0.2500 0.7500
Br1 0.0000 0.0000 0.5000
Br2 0.2500 0.2500 0.2500
```


Record 11
Material: Na2CaPS
Method: DFT, GGA-PBEsol
State: optimized geometry

Results
The uncorrected formation energy comes out at 0.37 eV/atom.

Structure (CIF):
```
data_Na2CaPS
_chemical_formula_sum 'Na2 Ca1 P1 S1'
_symmetry_space_group_name_H-M 'P 4/m m m'
_symmetry_Int_Tables_number 123
_symmetry_space_group_name_Hall '-P 4 2'
_cell_length_a 6.1985
_cell_length_b 6.1985
_cell_length_c 4.8173
_cell_angle_alpha 90.00
_cell_angle_beta 90.00
_cell_angle_gamma 90.00
loop_
_atom_site_label
_atom_site_fract_x
_atom_site_fract_y
_atom_site_fract_z
Na1 0.0000 0.5000 0.0000
Ca1 0.0000 0.0000 0.0000
P1 0.5000 0.5000 0.5000
S1 0.0000 0.0000 0.5000
```


Record 12
Material: MgFeTe
Method: DFT, GGA-PBEsol
State: optimized geometry

Results
The uncorrected formation energy comes out at 0.56 eV/atom.

Structure (CIF):
```
data_MgFeTe
_chemical_formula_sum 'Mg4 Fe4 Te4'
_symmetry_space_group_name_H-M 'F -4 3 m'
_symmetry_Int_Tables_number 216
_symmetry_space_group_name_Hall 'F -4 2 3'
_cell_length_a 6.3852
_cell_length_b 6.3852
_cell_length_c 6.3852
_cell_angle_alpha 90.00
_cell_angle_beta 90.00
_cell_angle_gamma 90.00
loop_
_atom_site_label
_atom_site_fract_x
_atom_site_fract_y
_atom_site_fract_z
Mg1 0.0000 0.0000 0.0000
Fe1 0.2500 0.2500 0.2500
Te1 0.2500 0.2500 0.7500
```


Number 1: total magnetic moment 0.00 μB/f.u.. Number 2: total magnetic moment 6.87 μB/f.u.. Number 3: total magnetic moment 0.00 μB/f.u.. Number 4: total magnetic moment 0.00 μB/f.u.. Number 5: total magnetic moment 0.00 μB/f.u.. Number 6: total magnetic moment 0.00 μB/f.u.. Number 7: total magnetic moment 3.33 μB/f.u.. Number 8: total magnetic moment 2.61 μB/f.u.. Number 9: total magnetic moment 0.00 μB/f.u.. Number 10: total magnetic moment 1.78 μB/f.u.. Number 11: total magnetic moment 1.07 μB/f.u.. Number 12: total magnetic moment 2.60 μB/f.u..